(1)
The following is a PBE-GGA calculation of crystalline CeAg3Hg at its relaxed geometry, from the Alexandria database.

Geometry as extended XYZ:
```
10
Lattice="6.051 0.000 0.000 0.000 5.871 0.000 -0.382 0.000 6.308" Properties=species:S:1:pos:R:3 pbc="T T T"
Ce 0.914 1.468 1.071
Ce 4.755 4.404 5.237
Ag 1.848 2.942 4.188
Ag 1.848 5.866 4.188
Ag 2.231 4.404 0.283
Ag 3.438 1.468 6.025
Ag 3.821 0.006 2.120
Ag 3.821 2.930 2.120
Hg 0.236 4.404 2.253
Hg 5.433 1.468 4.055
```

Properties
**SG**: No. 11
**Total magnetization**: 2.06 Bohr magnetons per cell

---

(2)
The following is a PBE-GGA calculation of crystalline Ce2AgHg12 at its relaxed geometry, from the Alexandria database.

Geometry as extended XYZ:
```
30
Lattice="7.009 0.000 0.000 0.000 7.009 0.000 0.000 0.000 16.625" Properties=species:S:1:pos:R:3 pbc="T T T"
Ce 1.752 5.257 3.864
Ce 1.752 5.257 12.761
Ce 5.257 1.752 3.864
Ce 5.257 1.752 12.761
Ag 1.752 5.257 0.000
Ag 5.257 1.752 0.000
Hg 7.007 0.003 1.523
Hg 0.003 7.007 15.102
Hg 0.003 3.507 1.523
Hg 7.007 3.502 15.102
Hg 0.692 4.196 7.089
Hg 0.692 6.317 9.536
Hg 1.752 1.752 3.173
Hg 1.752 1.752 5.962
Hg 1.752 1.752 10.663
Hg 1.752 1.752 13.452
Hg 2.813 4.196 9.536
Hg 2.813 6.317 7.089
Hg 3.502 7.007 1.523
Hg 3.507 0.003 15.102
Hg 3.507 3.502 1.523
Hg 3.502 3.507 15.102
Hg 4.196 0.692 9.536
Hg 4.196 2.813 7.089
Hg 5.257 5.257 3.173
Hg 5.257 5.257 5.962
Hg 5.257 5.257 10.663
Hg 5.257 5.257 13.452
Hg 6.317 0.692 7.089
Hg 6.317 2.813 9.536
```

Properties
**SG**: No. 125
**Total magnetization**: 5.62 Bohr magnetons per cell

---

(3)
The following is a PBE-GGA calculation of crystalline CeAgHg2 at its relaxed geometry, from the Alexandria database.

Geometry as extended XYZ:
```
16
Lattice="7.245 0.000 0.000 0.000 7.245 0.000 0.000 0.000 7.245" Properties=species:S:1:pos:R:3 pbc="T T T"
Ce 0.000 0.000 0.000
Ce 0.000 3.623 3.623
Ce 3.623 0.000 3.623
Ce 3.623 3.623 0.000
Ag 0.000 0.000 3.623
Ag 0.000 3.623 0.000
Ag 3.623 0.000 0.000
Ag 3.623 3.623 3.623
Hg 1.811 1.811 1.811
Hg 1.811 1.811 5.434
Hg 1.811 5.434 1.811
Hg 1.811 5.434 5.434
Hg 5.434 1.811 1.811
Hg 5.434 1.811 5.434
Hg 5.434 5.434 1.811
Hg 5.434 5.434 5.434
```

Properties
**SG**: No. 225
**Total magnetization**: 3.17 Bohr magnetons per cell

---

(4)
The following is a PBE-GGA calculation of crystalline Ce5Ag3Hg3 at its relaxed geometry, from the Alexandria database.

Geometry as extended XYZ:
```
11
Lattice="10.213 0.000 0.000 -5.107 8.845 0.000 0.000 0.000 3.126" Properties=species:S:1:pos:R:3 pbc="T T T"
Ce -1.751 3.033 0.000
Ce 0.000 5.897 0.000
Ce 3.503 0.000 0.000
Ce 3.355 5.812 0.000
Ce 5.107 2.948 0.000
Ag -4.305 7.456 0.000
Ag 0.802 1.389 0.000
Ag 8.609 0.000 0.000
Hg -3.118 5.400 1.563
Hg 1.989 3.445 1.563
Hg 6.236 0.000 1.563
```

Properties
**SG**: No. 189
**Total magnetization**: 6.99 Bohr magnetons per cell

---

(5)
The following is a PBE-GGA calculation of crystalline Ce3Ag2Hg3 at its relaxed geometry, from the Alexandria database.

Geometry as extended XYZ:
```
16
Lattice="4.707 0.000 0.000 0.000 4.831 0.000 0.000 0.000 17.228" Properties=species:S:1:pos:R:3 pbc="T T T"
Ce 0.000 0.000 0.000
Ce 0.000 2.415 2.251
Ce 0.000 2.415 14.977
Ce 2.353 0.000 6.363
Ce 2.353 0.000 10.865
Ce 2.353 2.415 8.614
Ag 0.000 0.000 4.235
Ag 0.000 0.000 12.994
Ag 2.353 2.415 4.380
Ag 2.353 2.415 12.849
Hg 0.000 0.000 8.614
Hg 0.000 2.415 6.185
Hg 0.000 2.415 11.043
Hg 2.353 0.000 2.429
Hg 2.353 0.000 14.800
Hg 2.353 2.415 0.000
```

Properties
**SG**: No. 71
**Offset from the most stable computed form**: 0.0298 eV/atom
**Total magnetization**: 6.85 Bohr magnetons per cell

---

(6)
The following is a PBE-GGA calculation of crystalline Ce2Ag2Hg3 at its relaxed geometry, from the Alexandria database.

Geometry as extended XYZ:
```
14
Lattice="4.789 0.000 0.000 0.000 21.562 0.000 0.000 0.000 3.349" Properties=species:S:1:pos:R:3 pbc="T T T"
Ce 0.000 3.338 0.000
Ce 0.000 18.223 0.000
Ce 2.394 7.442 0.000
Ce 2.394 14.119 0.000
Ag 0.000 6.127 1.674
Ag 0.000 15.435 1.674
Ag 2.394 4.654 1.674
Ag 2.394 16.908 1.674
Hg 0.000 0.000 0.000
Hg 0.000 9.165 1.674
Hg 0.000 12.397 1.674
Hg 2.394 1.616 1.674
Hg 2.394 10.781 0.000
Hg 2.394 19.946 1.674
```

Properties
**SG**: No. 65
**Offset from the most stable computed form**: 0.0241 eV/atom
**Total magnetization**: 5.35 Bohr magnetons per cell

---

(7)
The following is a PBE-GGA calculation of crystalline Ce2Ag3Hg4 at its relaxed geometry, from the Alexandria database.

Geometry as extended XYZ:
```
9
Lattice="5.020 0.000 0.000 2.509 4.471 0.000 0.040 0.933 9.410" Properties=species:S:1:pos:R:3 pbc="T T T"
Ce 1.257 0.805 2.214
Ce 6.312 4.599 7.196
Ag 1.292 1.482 5.443
Ag 3.764 2.236 0.000
Ag 6.277 3.922 3.967
Hg 1.294 1.660 8.474
Hg 3.802 3.114 6.093
Hg 3.767 2.291 3.317
Hg 6.275 3.745 0.935
```

Properties
**SG**: No. 2
**Offset from the most stable computed form**: 0.0000 eV/atom
**Total magnetization**: 1.75 Bohr magnetons per cell

---

(8)
The following is a PBE-GGA calculation of crystalline Ce3Ag3Hg2 at its relaxed geometry, from the Alexandria database.

Geometry as extended XYZ:
```
16
Lattice="2.491 -5.347 0.000 2.491 5.347 0.000 0.000 0.000 14.510" Properties=species:S:1:pos:R:3 pbc="T T T"
Ce 2.491 4.461 8.858
Ce 2.491 4.461 12.907
Ce 2.491 2.525 10.882
Ce 2.491 -2.525 3.627
Ce 2.491 -4.461 1.603
Ce 2.491 -4.461 5.652
Ag 2.491 1.084 8.105
Ag 2.491 1.084 13.659
Ag 2.491 0.668 3.627
Ag 2.491 -0.668 10.882
Ag 2.491 -1.084 0.850
Ag 2.491 -1.084 6.404
Hg 2.491 2.959 1.517
Hg 2.491 2.959 5.738
Hg 2.491 -2.959 8.772
Hg 2.491 -2.959 12.993
```

Properties
**SG**: No. 63
**Total magnetization**: 3.51 Bohr magnetons per cell

---

no.,uncorrected energy (Ry per atom),calculated volume (Å³/atom)
1,-0.22678,22.411
2,-0.09236,27.225
3,-0.19243,23.771
4,-0.25321,25.673
5,-0.23970,24.482
6,-0.20514,24.698
7,-0.19197,23.467
8,-0.26152,24.157